1.
# MgZnPt

A crystal of MgZnPt relaxed with PBEsol (meta-GGA SCAN, the Alexandria database).

a = 5.924 Å, b = 5.924 Å, c = 5.924 Å
α = 90.00°, β = 90.00°, γ = 90.00°
Fractional coordinates of all 12 atoms:
Mg 0.000 0.000 0.000
Mg 0.000 0.500 0.500
Mg 0.500 0.000 0.500
Mg 0.500 0.500 0.000
Zn 0.250 0.250 0.750
Zn 0.250 0.750 0.250
Zn 0.750 0.250 0.250
Zn 0.750 0.750 0.750
Pt 0.000 0.000 0.500
Pt 0.000 0.500 0.000
Pt 0.500 0.000 0.000
Pt 0.500 0.500 0.500

Results
Energy of formation from the pure elements: -0.4654 eV per atom
Volume: 17.33 Å³/atom

2.
# Mg2ZnPt

A crystal of Mg2ZnPt relaxed with PBEsol (meta-GGA SCAN, the Alexandria database).

a = 6.320 Å, b = 6.320 Å, c = 6.320 Å
α = 90.00°, β = 90.00°, γ = 90.00°
Fractional coordinates of all 16 atoms:
Mg 0.000 0.000 0.000
Mg 0.000 0.500 0.500
Mg 0.250 0.250 0.250
Mg 0.250 0.750 0.750
Mg 0.500 0.000 0.500
Mg 0.500 0.500 0.000
Mg 0.750 0.250 0.750
Mg 0.750 0.750 0.250
Zn 0.000 0.000 0.500
Zn 0.000 0.500 0.000
Zn 0.500 0.000 0.000
Zn 0.500 0.500 0.500
Pt 0.250 0.250 0.750
Pt 0.250 0.750 0.250
Pt 0.750 0.250 0.250
Pt 0.750 0.750 0.750

Results
Energy of formation from the pure elements: -0.6203 eV per atom
Volume: 15.78 Å³/atom

3.
# MgZnPt

A crystal of MgZnPt relaxed with PBEsol (meta-GGA SCAN, the Alexandria database).

a = 3.266 Å, b = 3.266 Å, c = 8.600 Å
α = 90.00°, β = 90.00°, γ = 90.00°
Fractional coordinates of all 6 atoms:
Mg 0.000 0.000 0.000
Mg 0.500 0.500 0.500
Zn 0.000 0.000 0.319
Zn 0.500 0.500 0.819
Pt 0.000 0.000 0.668
Pt 0.500 0.500 0.168

Results
Energy of formation from the pure elements: -0.6387 eV per atom
Volume: 15.29 Å³/atom